The following is a DFT calculation (GGA-PBE) of a geometry-optimized Al2CdH4 structure.

Computed properties:
D(E_F) ... 1.60 states/eV/f.u.
VASP energy ... -2.82 eV/atom
SG ... No. 139

```
Al2CdH4
1.0
3.589 0.000 0.000
0.000 3.589 0.000
1.794 1.794 8.767
Al H Cd
2 4 1
Direct
0.218 0.218 0.563 Al
0.782 0.782 0.437 Al
0.874 0.874 0.251 H
0.000 0.500 0.000 H
0.126 0.126 0.749 H
0.500 0.000 0.000 H
0.000 0.000 0.000 Cd
```